(1)
A plane-wave DFT calculation with GGA-PBE was carried out for crystalline Mg4AlTc at its relaxed geometry.

abc: 5.406 5.406 5.406
angles: 60.00 60.00 60.00
Element x y z (fractional)
Mg 0.376 0.872 0.376
Al 0.000 0.000 0.000
Mg 0.376 0.376 0.872
Mg 0.376 0.376 0.376
Mg 0.872 0.376 0.376
Tc 0.750 0.750 0.750

The calculation puts the formation energy from the elements at 475 meV per atom. The total energy is -17.6 eV/cell. Its density of states at the Fermi level is 5.8 states/eV per cell. Its symmetry is No. 216.

---

(2)
A plane-wave DFT calculation with GGA-PBE was carried out for crystalline MgAl2Tc at its relaxed geometry.

abc: 5.003 5.003 4.840
angles: 82.53 82.53 32.12
Element x y z (fractional)
Al 0.745 0.745 0.749
Al 0.992 0.992 0.013
Mg 0.507 0.507 0.497
Tc 0.256 0.256 0.240

The calculation puts the formation energy from the elements at -58 meV per atom. The total energy is -19.7 eV/cell. Its density of states at the Fermi level is 2.3 states/eV per cell. Its symmetry is No. 8.